(1)
First-principles (PBE) data for a relaxed AcThRhSe crystal, as listed in the Alexandria database.

abc: 4.1616 4.1616 23.3737
angles: 90.00 90.00 120.00
Closest atoms and distances in Å follow each position.
Space group R3m (No. 160, hexagonal axes)
Symmetry-distinct sites (fractional):
1 Ac 0.0000 0.0000 0.0000 [3 per cell]  3 Rh 3.07, 3 Se 3.36
2 Th 0.0000 0.0000 0.1885 [3 per cell]  3 Rh 2.82
3 Rh 0.0000 0.0000 0.5849 [3 per cell]  3 Th 2.82, 3 Ac 3.07
4 Se 0.0000 0.0000 0.7672 [3 per cell]  3 Th 3.16, 3 Ac 3.36

Results
total DFT energy (no corrections): -6.814 eV per atom


(2)
First-principles (PBE) data for a relaxed AcURhSe4 crystal, as listed in the Alexandria database.

abc: 7.1812 5.9017 8.5752
angles: 90.00 109.94 90.00
Closest atoms and distances in Å follow each position.
Space group P2_1/m (No. 11)
Symmetry-distinct sites (fractional):
1 Ac 0.2434 0.2500 0.0661 [2 per cell]  8 Se 3.09-3.42
2 U 0.2746 0.2500 0.5591 [2 per cell]  8 Se 2.84-3.11
3 Rh 0.2358 0.7500 0.2816 [2 per cell]  4 Se 2.44-2.50
4 Se 0.0322 0.5070 0.7230 [4 per cell]  1 Rh 2.44
5 Se 0.4173 0.7500 0.5876 [2 per cell]  1 Rh 2.50
6 Se 0.4476 0.7500 0.1121 [2 per cell]  1 Rh 2.44

Results
total DFT energy (no corrections): -6.377 eV per atom


(3)
First-principles (PBE) data for a relaxed AcSi3Rh5 crystal, as listed in the Alexandria database.

abc: 3.9855 12.4304 12.3541
angles: 90.00 90.00 90.00
Closest atoms and distances in Å follow each position.
Space group Cmcm (No. 63)
Symmetry-distinct sites (fractional):
1 Ac 0.0000 0.1675 0.2500 [4 per cell]  7 Si 3.38-3.46, 12 Rh 3.39-3.74
2 Si 0.0000 0.1053 0.7500 [4 per cell]  6 Rh 2.48-2.50
3 Si 0.0000 0.3833 0.5351 [8 per cell]  5 Rh 2.31-2.50
4 Rh 0.0000 0.0000 0.0000 [4 per cell]  4 Si 2.50, 6 Rh 2.66-2.74
5 Rh 0.0000 0.2013 0.5720 [8 per cell]  2 Si 2.31-2.50
6 Rh 0.0000 0.4496 0.1437 [8 per cell]  4 Si 2.36-2.48, 1 Rh 2.63

Results
total DFT energy (no corrections): -7.178 eV per atom


(4)
First-principles (PBE) data for a relaxed Ac3Si4Rh2 crystal, as listed in the Alexandria database.

abc: 11.9241 4.1323 8.6798
angles: 90.00 97.82 90.00
Closest atoms and distances in Å follow each position.
Space group C2/m (No. 12)
Symmetry-distinct sites (fractional):
1 Ac 0.0000 0.0000 0.0000 [2 per cell]  4 Rh 3.28, 8 Si 3.31-3.40
2 Ac 0.1691 0.5000 0.6625 [4 per cell]  8 Si 3.26-3.48, 4 Rh 3.34-3.39
3 Si 0.0496 0.0000 0.3848 [4 per cell]  2 Rh 2.41, 1 Si 2.46
4 Si 0.2251 0.5000 0.0661 [4 per cell]  1 Rh 2.46, 2 Si 2.47
5 Rh 0.1056 0.5000 0.2752 [4 per cell]  3 Si 2.41-2.46

Results
distance to the lowest polymorph of the same formula: 0 meV/atom


Fermi-level density of states, record by record: 3.0 16.0 24.1 12.0 states/eV per cell
Magnetic moment, record by record: 0.000 0.249 0.000 0.000 μB/atom